--- a ---
Below is RbCa2Nb after structural relaxation, with properties calculated at the GGA-PBE level.

Cell: 7.7732 7.7732 7.7732 Å, 103.73 103.73 121.69°
Sites, in units of the cell vectors:
Rb1 0.0000 0.0000 0.0000
Rb2 0.7500 0.2500 0.5000
Ca1 0.1808 0.1250 0.5558
Ca2 0.3750 0.8192 0.9442
Ca3 0.5692 0.6250 0.4442
Ca4 0.8750 0.4308 0.0558
Nb1 0.2500 0.7500 0.5000
Nb2 0.5000 0.5000 0.0000

Values from the calculation:
SG ... I-42d, No. 122
D(E_F) ... 4.61 states/eV/f.u.

---

--- b ---
Below is RbCa2Nb after structural relaxation, with properties calculated at the GGA-PBE level.

Cell: 5.9531 5.9531 5.9531 Å, 60.00 60.00 60.00°
Sites, in units of the cell vectors:
Rb1 0.0000 0.0000 0.0000
Ca1 0.2500 0.2500 0.2500
Ca2 0.7500 0.7500 0.7500
Nb1 0.5000 0.5000 0.5000

Values from the calculation:
SG ... Fm-3m, No. 225
D(E_F) ... 4.02 states/eV/f.u.

---

Most favorable structure: b. The second most favorable one is 180 meV/atom above it.

---

--- a ---
Below is RbCa3Nb after structural relaxation, with properties calculated at the GGA-PBE level.

Cell: 5.8893 5.8893 5.8893 Å, 90.00 90.00 90.00°
Sites, in units of the cell vectors:
Rb1 0.0000 0.0000 0.0000
Ca1 0.0000 0.5000 0.5000
Ca2 0.5000 0.0000 0.5000
Ca3 0.5000 0.5000 0.0000
Nb1 0.5000 0.5000 0.5000

Values from the calculation:
SG ... Pm-3m, No. 221
D(E_F) ... 10.99 states/eV/f.u.

---

--- b ---
Below is RbCa3Nb after structural relaxation, with properties calculated at the GGA-PBE level.

Cell: 5.5657 5.5657 5.5657 Å, 90.00 90.00 90.00°
Sites, in units of the cell vectors:
Rb1 0.0000 0.0000 0.0000
Ca1 0.0000 0.0000 0.5000
Ca2 0.0000 0.5000 0.0000
Ca3 0.5000 0.0000 0.0000
Nb1 0.5000 0.5000 0.5000

Values from the calculation:
SG ... Pm-3m, No. 221
D(E_F) ... 0.29 states/eV/f.u.

---

Most favorable structure: a. The second most favorable one is 976 meV/atom above it.

---

--- a ---
Below is CaNb3Re after structural relaxation, with properties calculated at the GGA-PBE level.

Cell: 4.9603 4.9603 4.9603 Å, 90.00 90.00 90.00°
Sites, in units of the cell vectors:
Ca1 0.0000 0.0000 0.0000
Nb1 0.0000 0.5000 0.5000
Nb2 0.5000 0.0000 0.5000
Nb3 0.5000 0.5000 0.0000
Re1 0.5000 0.5000 0.5000

Values from the calculation:
SG ... Pm-3m, No. 221
D(E_F) ... 8.47 states/eV/f.u.

---

--- b ---
Below is CaNb3Re after structural relaxation, with properties calculated at the GGA-PBE level.

Cell: 4.6097 4.6097 4.6097 Å, 90.00 90.00 90.00°
Sites, in units of the cell vectors:
Ca1 0.0000 0.0000 0.0000
Nb1 0.0000 0.0000 0.5000
Nb2 0.0000 0.5000 0.0000
Nb3 0.5000 0.0000 0.0000
Re1 0.5000 0.5000 0.5000

Values from the calculation:
SG ... Pm-3m, No. 221
D(E_F) ... 5.78 states/eV/f.u.

---

Most favorable structure: a. The second most favorable one is 1705 meV/atom above it.

---

--- a ---
Below is Ca2NbRe after structural relaxation, with properties calculated at the GGA-PBE level.

Cell: 8.0645 8.0645 8.0645 Å, 94.93 94.93 145.90°
Sites, in units of the cell vectors:
Ca1 0.3750 0.0294 0.1544
Ca2 0.7794 0.6250 0.6544
Ca3 0.8750 0.2206 0.8456
Ca4 0.9706 0.1250 0.3456
Nb1 0.2500 0.7500 0.5000
Nb2 0.5000 0.5000 0.0000
Re1 0.0000 0.0000 0.0000
Re2 0.7500 0.2500 0.5000

Values from the calculation:
SG ... I-42d, No. 122
D(E_F) ... 4.75 states/eV/f.u.

---

--- b ---
Below is Ca2NbRe after structural relaxation, with properties calculated at the GGA-PBE level.

Cell: 5.0090 5.0090 5.0090 Å, 60.00 60.00 60.00°
Sites, in units of the cell vectors:
Ca1 0.2500 0.2500 0.2500
Ca2 0.7500 0.7500 0.7500
Nb1 0.0000 0.0000 0.0000
Re1 0.5000 0.5000 0.5000

Values from the calculation:
SG ... Fm-3m, No. 225
D(E_F) ... 8.64 states/eV/f.u.

---

Most favorable structure: a. The second most favorable one is 206 meV/atom above it.